This record from the Alexandria database describes a relaxed structure of Se2SBrO. The functional is PBE.

formation energy from raw total energies = 0.92 eV/atom
calculated total energy = -0.097 hartree per atom
E above lowest polymorph = 0.000 eV per atom

```
Se2SBrO
1.0
4.450 0.000 0.000
0.000 4.450 0.000
0.000 0.000 4.828
Se S Br O
2 1 1 1
direct
0.000 0.500 0.000
0.500 0.000 0.000
0.000 0.000 0.500
0.500 0.500 0.500
0.500 0.500 0.000
```


This record from the Alexandria database describes a relaxed structure of SeSBr2O. The functional is PBE.

formation energy from raw total energies = 1.10 eV/atom
calculated total energy = -0.076 hartree per atom
E above lowest polymorph = 0.150 eV per atom

```
SeSBr2O
1.0
4.907 0.000 0.000
0.000 4.907 0.000
0.000 0.000 5.047
Se S Br O
1 1 2 1
direct
0.000 0.000 0.000
0.000 0.000 0.500
0.000 0.500 0.500
0.500 0.000 0.500
0.500 0.500 0.000
```


This record from the Alexandria database describes a relaxed structure of Se2SBrO. The functional is PBE.

formation energy from raw total energies = 1.18 eV/atom
calculated total energy = -0.087 hartree per atom
E above lowest polymorph = 0.259 eV per atom

```
Se2SBrO
1.0
4.886 0.000 0.000
0.000 4.886 0.000
0.000 0.000 4.851
Se S Br O
2 1 1 1
direct
0.000 0.500 0.000
0.500 0.000 0.000
0.000 0.000 0.000
0.000 0.000 0.500
0.500 0.500 0.500
```


This record from the Alexandria database describes a relaxed structure of SrSBrO4. The functional is PBE.

formation energy from raw total energies = -1.82 eV/atom
calculated total energy = -0.210 hartree per atom

```
SrSBrO4
1.0
5.854 -3.265 0.000
5.854 3.265 0.000
-1.150 0.000 6.866
Sr S Br O
2 2 2 8
direct
0.197 0.197 0.301
0.803 0.803 0.699
0.141 0.141 0.747
0.859 0.859 0.253
0.484 0.484 0.833
0.516 0.516 0.167
0.007 0.640 0.362
0.015 0.015 0.742
0.204 0.204 0.949
0.360 0.993 0.638
0.640 0.007 0.362
0.796 0.796 0.051
0.985 0.985 0.258
0.993 0.360 0.638
```


This record from the Alexandria database describes a relaxed structure of TbSBrO4. The functional is PBE.

formation energy from raw total energies = -2.04 eV/atom
calculated total energy = -0.234 hartree per atom

```
TbSBrO4
1.0
4.999 -3.478 0.000
4.999 3.478 0.000
-1.525 0.000 6.343
Tb S Br O
2 2 2 8
direct
0.235 0.235 0.142
0.765 0.765 0.858
0.365 0.365 0.738
0.635 0.635 0.262
0.023 0.023 0.755
0.977 0.977 0.245
0.148 0.486 0.850
0.295 0.295 0.513
0.486 0.148 0.850
0.486 0.486 0.232
0.514 0.514 0.768
0.514 0.852 0.150
0.705 0.705 0.487
0.852 0.514 0.150
```


This record from the Alexandria database describes a relaxed structure of TcSBrO2. The functional is PBE.

formation energy from raw total energies = 0.87 eV/atom
calculated total energy = -0.160 hartree per atom

```
TcSBrO2
1.0
3.724 0.000 0.000
0.000 3.724 0.000
0.000 0.000 5.985
Tc S Br O
1 1 1 2
direct
0.000 0.000 0.000
0.500 0.500 0.000
0.000 0.000 0.500
0.000 0.500 0.500
0.500 0.000 0.500
```


Look up the calculated total energy of the third one.
-0.087 hartree per atom


Which value of formation energy from raw total energies does entry 1 give?
0.92 eV/atom


The highest calculated total energy belongs to which entry?
SeSBr2O


Among the records above, which one has the highest formation energy from raw total energies?
number 3